Record 1
# BaP2Ir, optimized geometry, DFT GGA-PBE
# Electronic total energy: -45.519 eV for the cell shown
# M_tot: 0.00 μB/f.u.
# DOS at the Fermi energy: 0.544 states/eV per atom
# Formation energy: -0.29 eV/atom
data_BaP2Ir
_chemical_formula_sum 'Ba2 P4 Ir2'
_symmetry_space_group_name_H-M 'I m m 2'
_symmetry_Int_Tables_number 44
_symmetry_space_group_name_Hall 'I 2 -2'
_cell_length_a 4.079
_cell_length_b 4.203
_cell_length_c 10.843
_cell_angle_alpha 90.00
_cell_angle_beta 90.00
_cell_angle_gamma 90.00
loop_
_atom_site_label
_atom_site_type_symbol
_atom_site_fract_x
_atom_site_fract_y
_atom_site_fract_z
Ba1 Ba 0.000 0.000 0.000
P1 P 0.000 0.000 0.345
P2 P 0.000 0.500 0.240
Ir1 Ir 0.000 0.500 0.752

---

Record 2
# Pa2MnRe, optimized geometry, DFT GGA-PBE
# Electronic total energy: -116.483 eV for the cell shown
# E above lowest polymorph: 343 meV/atom
# M_tot: 0.00 μB/f.u.
# DOS at the Fermi energy: 1.162 states/eV per atom
# Formation energy: 0.45 eV/atom
data_Pa2MnRe
_chemical_formula_sum 'Pa6 Mn3 Re3'
_symmetry_space_group_name_H-M 'R -3 m'
_symmetry_Int_Tables_number 166
_symmetry_space_group_name_Hall '-R 3 2"'
_cell_length_a 3.0713
_cell_length_b 3.0713
_cell_length_c 28.1405
_cell_angle_alpha 90.00
_cell_angle_beta 90.00
_cell_angle_gamma 120.00
loop_
_atom_site_label
_atom_site_type_symbol
_atom_site_fract_x
_atom_site_fract_y
_atom_site_fract_z
Pa1 Pa 0.0000 0.0000 0.0833
Mn1 Mn 0.0000 0.0000 0.0000
Re1 Re 0.0000 0.0000 0.5000

---

Record 3
# PuTiSnAu, optimized geometry, DFT GGA-PBE
# Electronic total energy: -121.877 eV for the cell shown
# M_tot: 7.23 μB/f.u.
# DOS at the Fermi energy: 2.586 states/eV per atom
# Formation energy: -0.24 eV/atom
data_PuTiSnAu
_chemical_formula_sum 'Pu4 Ti4 Sn4 Au4'
_symmetry_space_group_name_H-M 'F -4 3 m'
_symmetry_Int_Tables_number 216
_symmetry_space_group_name_Hall 'F -4 2 3'
_cell_length_a 7.099
_cell_length_b 7.099
_cell_length_c 7.099
_cell_angle_alpha 90.00
_cell_angle_beta 90.00
_cell_angle_gamma 90.00
loop_
_atom_site_label
_atom_site_type_symbol
_atom_site_fract_x
_atom_site_fract_y
_atom_site_fract_z
Pu1 Pu 0.000 0.000 0.000
Ti1 Ti 0.000 0.000 0.500
Sn1 Sn 0.250 0.250 0.250
Au1 Au 0.250 0.250 0.750